Entry 1:
# La12PrTh7, relaxed, DFT GGA-PBE
data_La12PrTh7
_chemical_formula_sum 'La12 Pr1 Th7'
_cell_length_a 10.179
_cell_length_b 10.179
_cell_length_c 10.179
_cell_angle_alpha 109.47
_cell_angle_beta 109.47
_cell_angle_gamma 109.47
_space_group_name_H-M_alt 'P 1'
_space_group_IT_number 1
loop_
_space_group_symop_operation_xyz
'x,y,z'
loop_
_atom_site_label
_atom_site_type_symbol
_atom_site_fract_x
_atom_site_fract_y
_atom_site_fract_z
La1 La 0.777 0.466 0.689
Th1 Th 0.500 0.000 0.000
Th2 Th 0.000 0.000 0.500
La2 La 0.534 0.311 0.223
Th3 Th 0.500 0.000 0.500
La3 La 0.777 0.088 0.311
La4 La 0.088 0.311 0.777
La5 La 0.689 0.223 0.912
Th4 Th 0.000 0.500 0.000
La6 La 0.466 0.689 0.777
Pr1 Pr 0.000 0.000 0.000
Th5 Th 0.500 0.500 0.000
Th6 Th 0.500 0.500 0.500
La7 La 0.223 0.912 0.689
La8 La 0.689 0.777 0.466
Th7 Th 0.000 0.500 0.500
La9 La 0.912 0.689 0.223
La10 La 0.223 0.534 0.311
La11 La 0.311 0.223 0.534
La12 La 0.311 0.777 0.088
# Energy relative to the elements, kJ/mol of formula units: 1478
# Crystal system: cubic

=====

Entry 2:
# CsRb3Au, relaxed, DFT GGA-PBE
data_CsRb3Au
_chemical_formula_sum 'Cs1 Rb3 Au1'
_cell_length_a 8.391
_cell_length_b 8.391
_cell_length_c 8.391
_cell_angle_alpha 90.00
_cell_angle_beta 90.00
_cell_angle_gamma 90.00
_space_group_name_H-M_alt 'P 1'
_space_group_IT_number 1
loop_
_space_group_symop_operation_xyz
'x,y,z'
loop_
_atom_site_label
_atom_site_type_symbol
_atom_site_fract_x
_atom_site_fract_y
_atom_site_fract_z
Rb1 Rb 0.500 0.000 0.000
Rb2 Rb 0.000 0.500 0.000
Au1 Au 0.500 0.500 0.500
Rb3 Rb 0.000 0.000 0.500
Cs1 Cs 0.000 0.000 0.000
# Energy relative to the elements, kJ/mol of formula units: 248
# Crystal system: cubic

=====

Entry 3:
# KAg2P2, relaxed, DFT GGA-PBE
data_KAg2P2
_chemical_formula_sum 'K1 Ag2 P2'
_cell_length_a 4.798
_cell_length_b 4.798
_cell_length_c 6.145
_cell_angle_alpha 67.02
_cell_angle_beta 67.02
_cell_angle_gamma 90.00
_space_group_name_H-M_alt 'P 1'
_space_group_IT_number 1
loop_
_space_group_symop_operation_xyz
'x,y,z'
loop_
_atom_site_label
_atom_site_type_symbol
_atom_site_fract_x
_atom_site_fract_y
_atom_site_fract_z
P1 P 0.750 0.250 0.500
K1 K 0.000 0.000 0.000
Ag1 Ag 0.666 0.666 0.667
Ag2 Ag 0.334 0.334 0.333
P2 P 0.250 0.750 0.500
# Energy relative to the elements, kJ/mol of formula units: 41
# Crystal system: tetragonal

=====

Entry 4:
# Pm2BePdPt6, relaxed, DFT GGA-PBE
data_Pm2BePdPt6
_chemical_formula_sum 'Pm2 Be1 Pd1 Pt6'
_cell_length_a 5.526
_cell_length_b 8.051
_cell_length_c 5.521
_cell_angle_alpha 69.94
_cell_angle_beta 60.01
_cell_angle_gamma 89.95
_space_group_name_H-M_alt 'P 1'
_space_group_IT_number 1
loop_
_space_group_symop_operation_xyz
'x,y,z'
loop_
_atom_site_label
_atom_site_type_symbol
_atom_site_fract_x
_atom_site_fract_y
_atom_site_fract_z
Pd1 Pd 0.000 0.000 0.000
Pt1 Pt 0.739 0.708 0.525
Be1 Be 0.500 0.500 0.000
Pt2 Pt 0.767 0.292 0.970
Pt3 Pt 0.262 0.292 0.970
Pt4 Pt 0.261 0.292 0.475
Pt5 Pt 0.738 0.708 0.030
Pm1 Pm 0.294 0.881 0.413
Pm2 Pm 0.706 0.119 0.587
Pt6 Pt 0.233 0.708 0.030
# Energy relative to the elements, kJ/mol of formula units: -664
# Crystal system: monoclinic